The following is a DFT calculation (GGA-PBE) of an optimized crystal structure of Ta3Ni4.

Summary:
Energy above the lowest structure with this stoichiometry ... 581 meV/atom
Total magnetization ... 0.00 Bohr magnetons per cell
ΔH_f (0 K) ... 28.5 kJ/mol of atoms
Crystal system ... hexagonal
DOS at the Fermi energy ... 6.8 states/eV/f.u.

```
data_Ta3Ni4
_chemical_formula_sum 'Ta3 Ni4'
_cell_length_a 5.2174
_cell_length_b 5.2174
_cell_length_c 4.5272
_cell_angle_alpha 90.00
_cell_angle_beta 90.00
_cell_angle_gamma 120.00
_symmetry_space_group_name_H-M 'P 6/m m m'
_symmetry_Int_Tables_number 191
_symmetry_space_group_name_Hall '-P 6 2'
loop_
_atom_site_label
_atom_site_type_symbol
_atom_site_fract_x
_atom_site_fract_y
_atom_site_fract_z
Ta1 Ta 0.0000 0.5000 0.0000
Ni1 Ni 0.0000 0.0000 0.2593
Ni2 Ni 0.3333 0.6667 0.5000
```